The following is a DFT calculation (PBE-GGA) of crystalline AlBN2 at its relaxed geometry.

a b c (Å): 5.0392 5.0392 5.0392
angles (deg): 35.27 35.27 35.27
Fractional positions:
B  0.0000  0.0000  0.0000
Al  0.5000  0.5000  0.5000
N  0.9057  0.9057  0.9057
N  0.0943  0.0943  0.0943

Output
E above lowest polymorph: 0.113 eV per atom
volume: 38.11 Å³ per cell
N(E_F): 0.0 states/eV per cell
uncorrected formation energy: -0.97 eV per atom
total moment: 0.00 μB/f.u.